A plane-wave DFT calculation with GGA-PBEsol was carried out for crystalline LaBeTe at its relaxed geometry.

Cell lengths 3.6089, 3.6089, 10.6435 Å; angles 90.00, 90.00, 90.00 degrees
With the nearest neighbours (Å) after each atom.
Space group I4mm (No. 107)
One atom of each set of equivalent atoms:
La1 0.0000 0.0000 0.0000 x2  5 Te 3.15-3.35, 5 Be 3.21-3.31
Be1 0.0000 0.0000 0.6980 x2  4 Te 2.76
Te1 0.0000 0.0000 0.2958 x2  4 Be 2.76

Results
Polymorph energy (0 for the lowest one) in eV/atom: 0.000
DFT total energy in eV/f.u.: -13.8
Total magnetization in μB per formula unit: 0.00